1.
Density functional theory data (PBE+U) for Y2FeO6 after structural relaxation.

Cell lengths 6.014, 6.014, 3.685 Å; angles 97.97, 97.97, 55.60 degrees
Element x y z (fractional)
Y: 0.169 0.169 0.190
Y: 0.831 0.831 0.810
Fe: 0.500 0.500 0.500
O: 0.108 0.590 0.325
O: 0.268 0.732 0.000
O: 0.410 0.892 0.675
O: 0.590 0.108 0.325
O: 0.732 0.268 0.000
O: 0.892 0.410 0.675

Properties
**Space-group type**: C2/m (12)
**E**: -67.0 eV for the cell shown
**ρ**: 5.04 g/cm3
**Total magnetic moment**: 5.761 μB/f.u.

=====

2.
Density functional theory data (PBE+U) for YFe2O4 after structural relaxation.

Cell lengths 8.673, 8.673, 8.673 Å; angles 23.41, 23.41, 23.41 degrees
Element x y z (fractional)
Y: 0.000 0.000 0.000
Fe: 0.213 0.213 0.213
Fe: 0.787 0.787 0.787
O: 0.128 0.128 0.128
O: 0.291 0.291 0.291
O: 0.709 0.709 0.709
O: 0.872 0.872 0.872

Properties
**Space-group type**: R-3m (166)
**E**: -52.4 eV for the cell shown
**ρ**: 4.86 g/cm3
**Total magnetic moment**: 9.000 μB/f.u.

=====

Q: What is the E in the first record?
A: -67.0 eV for the cell shown

=====

Q: Which of these has the lowest total magnetic moment?
A: Y2FeO6